[1]
Density functional theory data (GGA-PBE) for a relaxed structure of Dy3Se4O12F.

- uncorrected formation energy (eV per formula unit) = -40.883
- density of states at the Fermi level (states/eV/f.u.) = 0.00

Lattice parameters (Å, degrees): 10.4778 10.4778 6.8809 90.00 90.00 120.00
Last column: nearest neighbours and their distance in Å.
Space group P6_3mc (No. 186)
Symmetry-distinct sites (fractional):
Dy 0.0760 0.5380 0.0000 x6  8 O 2.34-2.55, 1 F 2.36
Se 0.1555 0.3110 0.7683 x6  3 O 1.72
Se 0.3333 0.6667 0.4332 x2  3 O 1.74
O 0.0807 0.4170 0.6971 x12  1 Se 1.72
O 0.1618 0.5809 0.3204 x6  1 Se 1.74
O 0.1835 0.3670 0.0076 x6  1 Se 1.72
F 0.3333 0.6667 0.9533 x2  3 Dy 2.36

=====

[2]
Density functional theory data (GGA-PBE) for a relaxed structure of Dy2SeOF2.

- uncorrected formation energy (eV per formula unit) = -20.452
- density of states at the Fermi level (states/eV/f.u.) = 0.00

Lattice parameters (Å, degrees): 13.4357 13.4357 3.7391 90.00 90.00 120.00
Last column: nearest neighbours and their distance in Å.
Space group P6_3/m (No. 176)
Symmetry-distinct sites (fractional):
Dy 0.0554 0.7654 0.2500 x6  1 O 2.27, 6 F 2.36-2.45
Dy 0.1167 0.5146 0.2500 x6  3 O 2.26-2.27, 1 F 2.41
Se 0.2066 0.7186 0.7500 x6  6 Dy 3.03-3.05, 3 O 3.21-3.26, 3 F 3.24-3.28
O 0.0142 0.4269 0.7500 x6  4 Dy 2.26-2.27
F 0.0666 0.3154 0.2500 x6  4 Dy 2.36-2.45, 3 F 2.57
F 0.1019 0.8930 0.7500 x6  3 Dy 2.37-2.40, 3 F 2.57

=====

[3]
Density functional theory data (GGA-PBE) for a relaxed structure of Dy3Si3O10F.

- uncorrected formation energy (eV per formula unit) = -55.855
- density of states at the Fermi level (states/eV/f.u.) = 0.00

Lattice parameters (Å, degrees): 7.3917 11.2599 12.0350 90.00 120.29 90.00
Last column: nearest neighbours and their distance in Å.
Space group P2_1/c (No. 14)
Symmetry-distinct sites (fractional):
Dy 0.0955 0.2297 0.1888 x4  6 O 2.24-2.48, 1 F 2.39
Dy 0.2440 0.0308 0.9816 x4  1 F 2.26, 5 O 2.30-2.40
Dy 0.3054 0.0982 0.5035 x4  5 O 2.26-2.41, 1 F 2.30
Si 0.2145 0.5374 0.2088 x4  4 O 1.64-1.68
Si 0.2156 0.5860 0.7405 x4  4 O 1.63-1.67
Si 0.3766 0.7448 0.1106 x4  4 O 1.63-1.66
O 0.0051 0.6041 0.1920 x4  1 Si 1.64
O 0.0125 0.1435 0.8025 x4  1 Si 1.63
O 0.1492 0.0244 0.1369 x4  1 Si 1.65
O 0.1577 0.0892 0.6304 x4  1 Si 1.64
O 0.2130 0.6810 0.4825 x4  1 Si 1.63
O 0.3012 0.6090 0.1224 x4  2 Si 1.66-1.68
O 0.3512 0.5496 0.8916 x4  1 Si 1.63
O 0.3854 0.6776 0.7310 x4  2 Si 1.66-1.67
O 0.3961 0.5225 0.3618 x4  1 Si 1.65
O 0.3970 0.2261 0.3793 x4  1 Si 1.63
F 0.2553 0.2148 0.0593 x4  3 Dy 2.26-2.39

=====

[4]
Density functional theory data (GGA-PBE) for a relaxed structure of DyTaO4F.

- uncorrected formation energy (eV per formula unit) = -20.052

Lattice parameters (Å, degrees): 9.6590 7.2632 6.8542 90.00 102.25 90.00
Last column: nearest neighbours and their distance in Å.
Space group C2/m (No. 12)
Symmetry-distinct sites (fractional):
Dy 0.1943 0.0000 0.0785 x4  2 F 2.24-2.25, 4 O 2.31-2.41
Ta 0.1302 0.5000 0.2912 x4  4 O 1.85-1.88
O 0.0680 0.5000 0.7602 x4  1 Ta 1.87, 1 O 2.06
O 0.1946 0.3100 0.1542 x8  1 Ta 1.85
O 0.2051 0.5000 0.5681 x4  1 Ta 1.88, 1 O 2.06
F 0.0108 0.0000 0.8167 x4  2 Dy 2.24-2.25

=====

[5]
Density functional theory data (GGA-PBE) for a relaxed structure of DyPRuF.

- uncorrected formation energy (eV per formula unit) = -8.106
- density of states at the Fermi level (states/eV/f.u.) = 1.57

Lattice parameters (Å, degrees): 3.9625 3.9625 7.9062 90.00 90.00 90.00
Last column: nearest neighbours and their distance in Å.
Space group P4/nmm (No. 129, origin choice 2)
Symmetry-distinct sites (fractional):
Dy 0.2500 0.2500 0.1881 x2  4 F 2.48
P 0.2500 0.2500 0.6589 x2  4 Ru 2.35
Ru 0.2500 0.7500 0.5000 x2  4 P 2.35
F 0.2500 0.7500 0.0000 x2  4 Dy 2.48

=====

[6]
Density functional theory data (GGA-PBE) for a relaxed structure of DyPaF6.

- uncorrected formation energy (eV per formula unit) = -29.194
- density of states at the Fermi level (states/eV/f.u.) = 3.85

Lattice parameters (Å, degrees): 5.8057 8.5111 5.8351 90.00 100.19 90.00
Last column: nearest neighbours and their distance in Å.
Space group C2/m (No. 12)
Symmetry-distinct sites (fractional):
Dy 0.0000 0.0000 0.0000 x2  6 F 2.19-2.22
Pa 0.0000 0.5000 0.5000 x2  6 F 2.31-2.38
F 0.2162 0.1570 0.2571 x8  1 Dy 2.22, 1 Pa 2.38
F 0.2239 0.5000 0.2107 x4  1 Dy 2.19, 1 Pa 2.31

=====

[7]
Density functional theory data (GGA-PBE) for a relaxed structure of Dy2PaF.

- uncorrected formation energy (eV per formula unit) = -3.206
- density of states at the Fermi level (states/eV/f.u.) = 3.45

Lattice parameters (Å, degrees): 3.2046 3.2046 30.6347 90.00 90.00 120.00
Last column: nearest neighbours and their distance in Å.
Space group R-3m (No. 166, hexagonal axes)
Symmetry-distinct sites (fractional):
Dy 0.0000 0.0000 0.1050 x6  3 F 2.64
Pa 0.0000 0.0000 0.0000 x3  6 Pa 3.20, 2 Dy 3.22
F 0.0000 0.0000 0.5000 x3  6 Dy 2.64

=====

[8]
Density functional theory data (GGA-PBE) for a relaxed structure of DyPbF4.

- uncorrected formation energy (eV per formula unit) = -18.869
- density of states at the Fermi level (states/eV/f.u.) = 0.85

Lattice parameters (Å, degrees): 8.0670 9.1263 6.1774 90.00 123.35 90.00
Last column: nearest neighbours and their distance in Å.
Space group C2/c (No. 15)
Symmetry-distinct sites (fractional):
Dy 0.0000 0.1311 0.2500 x4  8 F 2.27-2.43
Pb 0.0000 0.4324 0.7500 x4  4 F 2.54-2.62
F 0.1243 0.0842 0.0056 x8  2 Dy 2.27-2.37, 1 F 2.50
F 0.2022 0.3278 0.3225 x8  2 Dy 2.30-2.43, 1 F 2.36

=====

[9]
Density functional theory data (GGA-PBE) for a relaxed structure of DyPb2F8.

- uncorrected formation energy (eV per formula unit) = -31.220
- density of states at the Fermi level (states/eV/f.u.) = 7.46
- energy relative to the lowest polymorph listed for this composition (eV/f.u.) = 0.04

Lattice parameters (Å, degrees): 14.7117 3.9489 5.6096 90.00 108.54 90.00
Last column: nearest neighbours and their distance in Å.
Space group C2/m (No. 12)
Symmetry-distinct sites (fractional):
Dy 0.0000 0.0000 0.0000 x2  8 F 2.27-2.33
Pb 0.1731 0.5000 0.6753 x4  8 F 2.39-2.59
F 0.0247 0.5000 0.8095 x4  2 Dy 2.33, 1 F 2.47, 1 Pb 2.53
F 0.0924 0.0000 0.4113 x4  1 Dy 2.27, 2 Pb 2.53
F 0.1513 0.0000 0.9508 x4  1 Dy 2.33, 2 Pb 2.59
F 0.2214 0.5000 0.3071 x4  3 Pb 2.39-2.49

=====

[10]
Density functional theory data (GGA-PBE) for a relaxed structure of Dy2PbF.

- uncorrected formation energy (eV per formula unit) = -5.465
- density of states at the Fermi level (states/eV/f.u.) = 3.72

Lattice parameters (Å, degrees): 4.7607 4.7607 21.3902 90.00 90.00 120.00
Last column: nearest neighbours and their distance in Å.
Space group R-3m (No. 166, hexagonal axes)
Symmetry-distinct sites (fractional):
Dy 0.0000 0.0000 0.1018 x6  1 F 2.18
Pb 0.0000 0.0000 0.5000 x3  6 Dy 3.08
F 0.0000 0.0000 0.0000 x3  2 Dy 2.18

=====

[11]
Density functional theory data (GGA-PBE) for a relaxed structure of DyPb2F8.

- uncorrected formation energy (eV per formula unit) = -31.259
- density of states at the Fermi level (states/eV/f.u.) = 5.82
- energy relative to the lowest polymorph listed for this composition (eV/f.u.) = 0.00

Lattice parameters (Å, degrees): 17.2608 3.8429 5.4072 90.00 101.87 90.00
Last column: nearest neighbours and their distance in Å.
Space group C2/m (No. 12)
Symmetry-distinct sites (fractional):
Dy 0.0000 0.0000 0.0000 x2  8 F 2.28-2.31
Pb 0.1537 0.5000 0.5509 x4  8 F 2.39-2.55
F 0.0215 0.5000 0.2365 x4  2 Dy 2.30, 1 F 2.51, 1 Pb 2.55
F 0.0900 0.0000 0.7459 x4  1 Dy 2.28, 2 Pb 2.55
F 0.1234 0.0000 0.2655 x4  1 Dy 2.31, 2 Pb 2.45, 2 F 2.59
F 0.2450 0.0000 0.6920 x4  3 Pb 2.39-2.50

=====

[12]
Density functional theory data (GGA-PBE) for a relaxed structure of DyPbF5.

- uncorrected formation energy (eV per formula unit) = -23.801
- density of states at the Fermi level (states/eV/f.u.) = 0.00

Lattice parameters (Å, degrees): 4.3410 16.0247 5.8594 90.00 93.43 90.00
Last column: nearest neighbours and their distance in Å.
Space group C2/c (No. 15)
Symmetry-distinct sites (fractional):
Dy 0.0000 0.0743 0.2500 x4  8 F 2.26-2.32
Pb 0.0000 0.3231 0.2500 x4  8 F 2.58-2.69
F 0.0000 0.3806 0.7500 x4  2 Dy 2.29
F 0.0095 0.1886 0.0071 x8  1 Dy 2.32, 1 Pb 2.58
F 0.2280 0.0380 0.5989 x8  2 Dy 2.26-2.29

=====

Repeat the eleventh record exactly.
Density functional theory data (GGA-PBE) for a relaxed structure of DyPb2F8.

- uncorrected formation energy (eV per formula unit) = -31.259
- density of states at the Fermi level (states/eV/f.u.) = 5.82
- energy relative to the lowest polymorph listed for this composition (eV/f.u.) = 0.00

Lattice parameters (Å, degrees): 17.2608 3.8429 5.4072 90.00 101.87 90.00
Last column: nearest neighbours and their distance in Å.
Space group C2/m (No. 12)
Symmetry-distinct sites (fractional):
Dy 0.0000 0.0000 0.0000 x2  8 F 2.28-2.31
Pb 0.1537 0.5000 0.5509 x4  8 F 2.39-2.55
F 0.0215 0.5000 0.2365 x4  2 Dy 2.30, 1 F 2.51, 1 Pb 2.55
F 0.0900 0.0000 0.7459 x4  1 Dy 2.28, 2 Pb 2.55
F 0.1234 0.0000 0.2655 x4  1 Dy 2.31, 2 Pb 2.45, 2 F 2.59
F 0.2450 0.0000 0.6920 x4  3 Pb 2.39-2.50